Record 1
Material: BaMn2TlTe
Method: DFT, PBE
State: optimized geometry

Geometry as extended XYZ:
```
5
Lattice="6.088 0.000 0.000 0.000 6.088 0.000 0.000 0.000 6.457" Properties=species:S:1:pos:R:3 pbc="T T T"
Mn 3.044 0.000 0.000
Ba 0.000 0.000 0.000
Te 0.000 0.000 3.228
Tl 3.044 3.044 3.228
Mn 0.000 3.044 0.000
```

Properties
- density (g cm⁻³) = 4.02
- energy relative to the elements, uncorrected (eV/atom) = 1.07
- total magnetic moment (μB per formula unit) = 9.2
- raw total energy (eV/cell) = -20.43
- SG = P4/mmm

Record 2
Material: Ac4La3Tb4
Method: DFT, PBE
State: optimized geometry

Geometry as extended XYZ:
```
11
Lattice="3.749 -0.025 -0.205 -0.011 5.873 -0.884 -0.834 -0.129 19.075" Properties=species:S:1:pos:R:3 pbc="T T T"
Tb 0.547 1.005 6.665
Ac 0.745 1.559 10.308
La 0.451 3.686 4.514
Ac 0.991 5.194 14.549
La 2.804 2.054 13.611
La -0.688 5.711 17.976
Tb 0.258 3.178 1.161
Ac 2.233 0.482 3.172
Tb 1.132 2.587 17.150
Tb 2.697 4.713 11.309
Ac 2.505 4.167 7.704
```

Properties
- density (g cm⁻³) = 7.78
- total magnetic moment (μB per formula unit) = 0.0
- formation energy from the elements (meV/atom) = 55
- raw total energy (eV/cell) = -49.13
- SG = P1

Record 3
Material: Sr3Tl3Sn8
Method: DFT, PBE
State: optimized geometry

Geometry as extended XYZ:
```
14
Lattice="-5.031 -1.908 -0.313 -0.378 -7.555 5.725 -4.600 3.267 7.627" Properties=species:S:1:pos:R:3 pbc="T T T"
Sr -4.989 -3.804 10.571
Tl -3.879 1.420 7.302
Sn -6.124 -0.563 9.069
Sr -5.020 -2.392 2.468
Sn -6.962 -5.819 8.157
Sr -5.005 -3.098 6.519
Sn -3.885 -5.634 3.970
Sn -3.869 -6.345 8.052
Sn -1.947 -3.199 4.386
Sn -3.047 -0.378 4.882
Sn -6.140 0.149 4.986
Tl -2.516 -0.954 -0.156
Sn -8.063 -2.997 8.653
Tl -1.098 -5.709 6.049
```

Properties
- density (g cm⁻³) = 6.89
- total magnetic moment (μB per formula unit) = 0.0
- formation energy from the elements (meV/atom) = -275
- raw total energy (eV/cell) = -48.01
- SG = Immm

Record 4
Material: Re3PO
Method: DFT, PBE
State: optimized geometry

Geometry as extended XYZ:
```
5
Lattice="-1.990 3.478 0.819 -3.402 -1.558 -1.652 -1.093 -1.485 3.651" Properties=species:S:1:pos:R:3 pbc="T T T"
Re -0.995 1.739 0.409
Re -1.701 -0.779 -0.826
Re -0.547 -0.742 1.825
O 0.000 0.000 0.000
P -3.243 0.218 1.409
```

Properties
- density (g cm⁻³) = 14.70
- energy relative to the elements, uncorrected (eV/atom) = 0.90
- total magnetic moment (μB per formula unit) = 0.0
- raw total energy (eV/cell) = -43.23
- SG = Pm-3m